Record 1
Cs2Rb6Hg3O after structural relaxation. Source: the Alexandria database, functional PBE-GGA.

a = 8.1846 Å, b = 8.5088 Å, c = 10.7554 Å
α = 113.30°, β = 91.45°, γ = 90.00°
Atoms (fractional coordinates):
Cs 0.1198 0.6952 0.3904
Cs 0.8802 0.3048 0.6096
Rb 0.6717 0.3038 0.1437
Rb 0.3283 0.6962 0.8563
Rb 0.7359 0.8993 0.7986
Rb 0.2641 0.1007 0.2014
Rb 0.3283 0.1600 0.8563
Rb 0.6717 0.8400 0.1437
Hg 0.0000 0.5000 0.0000
Hg 0.5000 0.5000 0.5000
Hg 0.5000 0.0000 0.5000
O 0.5000 0.0000 0.0000

Values from the calculation:
The uncorrected energy comes out at -1.4345 eV/atom. As for the uncorrected formation energy: -3.84 eV per formula unit. The total moment is 0.00 μB per atom.

Record 2
Cs2Rb4Hg2O after structural relaxation. Source: the Alexandria database, functional PBE-GGA.

a = 8.7599 Å, b = 8.7599 Å, c = 8.7599 Å
α = 87.30°, β = 121.57°, γ = 121.57°
Atoms (fractional coordinates):
Cs 0.0000 0.7725 0.7725
Cs 0.0000 0.2275 0.2275
Rb 0.0000 0.7710 0.2290
Rb 0.5420 0.7710 0.7710
Rb 0.0000 0.2290 0.7710
Rb 0.4580 0.2290 0.2290
Hg 0.5000 0.7500 0.2500
Hg 0.5000 0.2500 0.7500
O 0.0000 0.0000 0.0000

Values from the calculation:
The uncorrected energy comes out at -1.6526 eV/atom. As for the uncorrected formation energy: -3.73 eV per formula unit. The total moment is 0.00 μB per atom.

Record 3
Cs7Rb2HgO2 after structural relaxation. Source: the Alexandria database, functional PBE-GGA.

a = 9.1880 Å, b = 9.1880 Å, c = 13.4179 Å
α = 69.98°, β = 69.98°, γ = 60.00°
Atoms (fractional coordinates):
Cs 0.1242 0.9771 0.3009
Cs 0.5978 0.1242 0.3009
Cs 0.9771 0.5978 0.3009
Cs 0.4022 0.0229 0.6991
Cs 0.8758 0.4022 0.6991
Cs 0.0000 0.0000 0.0000
Cs 0.0229 0.8758 0.6991
Rb 0.6475 0.6475 0.0575
Rb 0.3525 0.3525 0.9425
Hg 0.5000 0.5000 0.5000
O 0.9202 0.9202 0.2395
O 0.0798 0.0798 0.7605

Values from the calculation:
The uncorrected energy comes out at -2.0133 eV/atom. As for the uncorrected formation energy: -6.03 eV per formula unit. The total moment is 0.00 μB per atom.